1.
! LiSc2N PBE-GGA relaxed; values from VASP
&SYSTEM
  ibrav = 0, nat = 12, ntyp = 3
/
ATOMIC_SPECIES
Li 6.94 Li.upf
Sc 44.96 Sc.upf
N 14.01 N.upf
ATOMIC_POSITIONS angstrom
Li 0.000 0.000 0.000
Li 0.000 2.119 17.158
Li 1.835 1.059 8.579
Sc 0.000 0.000 11.035
Sc 0.000 0.000 14.702
Sc 0.000 2.119 2.456
Sc 0.000 2.119 6.123
Sc 1.835 1.059 19.614
Sc 1.835 1.059 23.282
N 0.000 0.000 12.869
N 0.000 2.119 4.290
N 1.835 1.059 21.448
CELL_PARAMETERS angstrom
3.670 0.000 0.000
-1.835 3.178 0.000
0.000 0.000 25.737
! uncorrected formation energy: 0.0851 eV per atom
! total magnetic moment: 0.0 μB/cell
! crystal system: trigonal


2.
! LiScSe2N PBE-GGA relaxed; values from VASP
&SYSTEM
  ibrav = 0, nat = 5, ntyp = 4
/
ATOMIC_SPECIES
Li 6.94 Li.upf
Sc 44.96 Sc.upf
Se 78.96 Se.upf
N 14.01 N.upf
ATOMIC_POSITIONS angstrom
Li 0.000 0.000 0.000
Sc 2.625 2.625 2.112
Se 0.000 2.625 2.112
Se 2.625 0.000 2.112
N 2.625 2.625 0.000
CELL_PARAMETERS angstrom
5.249 0.000 0.000
0.000 5.249 0.000
0.000 0.000 4.224
! uncorrected formation energy: -0.2550 eV per atom
! total magnetic moment: 2.5 μB/cell
! crystal system: tetragonal


3.
! LiScSe2N PBE-GGA relaxed; values from VASP
&SYSTEM
  ibrav = 0, nat = 5, ntyp = 4
/
ATOMIC_SPECIES
Li 6.94 Li.upf
Sc 44.96 Sc.upf
Se 78.96 Se.upf
N 14.01 N.upf
ATOMIC_POSITIONS angstrom
Li 0.000 0.000 0.000
Sc 2.373 2.373 1.826
Se 0.000 2.373 0.000
Se 2.373 0.000 0.000
N 0.000 0.000 1.826
CELL_PARAMETERS angstrom
4.747 0.000 0.000
0.000 4.747 0.000
0.000 0.000 3.652
! uncorrected formation energy: 0.1006 eV per atom
! total magnetic moment: 0.8 μB/cell
! crystal system: tetragonal


4.
! LiSc2SiN PBE-GGA relaxed; values from VASP
&SYSTEM
  ibrav = 0, nat = 5, ntyp = 4
/
ATOMIC_SPECIES
Li 6.94 Li.upf
Sc 44.96 Sc.upf
Si 28.09 Si.upf
N 14.01 N.upf
ATOMIC_POSITIONS angstrom
Li 0.000 0.000 0.000
Sc 0.000 2.177 1.981
Sc 2.177 0.000 1.981
Si 2.177 2.177 0.000
N 0.000 0.000 1.981
CELL_PARAMETERS angstrom
4.355 0.000 0.000
0.000 4.355 0.000
0.000 0.000 3.962
! uncorrected formation energy: -1.0316 eV per atom
! total magnetic moment: 0.0 μB/cell
! crystal system: tetragonal


5.
! LiSc2SiN PBE-GGA relaxed; values from VASP
&SYSTEM
  ibrav = 0, nat = 5, ntyp = 4
/
ATOMIC_SPECIES
Li 6.94 Li.upf
Sc 44.96 Sc.upf
Si 28.09 Si.upf
N 14.01 N.upf
ATOMIC_POSITIONS angstrom
Li 0.000 0.000 0.000
Sc 0.000 2.672 1.753
Sc 2.672 0.000 1.753
Si 2.672 2.672 1.753
N 2.672 2.672 0.000
CELL_PARAMETERS angstrom
5.343 0.000 0.000
0.000 5.343 0.000
0.000 0.000 3.506
! uncorrected formation energy: 0.4338 eV per atom
! total magnetic moment: 1.1 μB/cell
! crystal system: tetragonal


6.
! LiScTa4N8 PBE-GGA relaxed; values from VASP
&SYSTEM
  ibrav = 0, nat = 14, ntyp = 4
/
ATOMIC_SPECIES
Li 6.94 Li.upf
Sc 44.96 Sc.upf
Ta 180.95 Ta.upf
N 14.01 N.upf
ATOMIC_POSITIONS angstrom
Li 0.000 0.000 0.000
Sc 0.000 0.000 5.804
Ta 0.000 -1.753 2.502
Ta -1.518 0.877 2.502
Ta 1.518 0.877 2.502
Ta 0.000 0.000 9.502
N -1.580 -0.912 8.814
N 0.000 0.000 3.678
N 0.000 -1.946 6.546
N -1.685 0.973 6.546
N 1.580 -0.912 8.814
N 0.000 1.825 8.814
N 0.000 0.000 11.574
N 1.685 0.973 6.546
CELL_PARAMETERS angstrom
3.128 1.806 5.092
-3.128 1.806 5.092
0.000 -3.612 5.092
! uncorrected formation energy: -1.0364 eV per atom
! total magnetic moment: 0.0 μB/cell
! crystal system: trigonal


7.
! LiSc2TaN4 PBE-GGA relaxed; values from VASP
&SYSTEM
  ibrav = 0, nat = 8, ntyp = 4
/
ATOMIC_SPECIES
Li 6.94 Li.upf
Sc 44.96 Sc.upf
Ta 180.95 Ta.upf
N 14.01 N.upf
ATOMIC_POSITIONS angstrom
Li 0.000 0.000 0.000
Sc 1.553 2.279 1.562
Sc 4.660 6.837 4.670
Ta 3.107 4.558 3.273
N 3.107 2.482 3.099
N 4.620 4.558 4.600
N 3.107 6.634 3.099
N 1.593 4.558 4.600
CELL_PARAMETERS angstrom
0.000 4.558 3.109
3.107 0.000 3.109
3.107 4.558 0.000
! uncorrected formation energy: -1.4945 eV per atom
! total magnetic moment: 0.0 μB/cell
! crystal system: orthorhombic


8.
! LiSc2Ta3N6 PBE-GGA relaxed; values from VASP
&SYSTEM
  ibrav = 0, nat = 12, ntyp = 4
/
ATOMIC_SPECIES
Li 6.94 Li.upf
Sc 44.96 Sc.upf
Ta 180.95 Ta.upf
N 14.01 N.upf
ATOMIC_POSITIONS angstrom
Li 0.000 0.000 0.000
Sc 3.595 0.000 4.093
Sc 8.582 0.000 1.967
Ta -0.797 0.000 3.030
Ta 4.434 0.000 1.070
Ta 7.743 0.000 4.990
N 1.373 0.000 3.553
N 2.250 0.000 0.439
N 6.455 0.000 1.533
N 5.722 0.000 4.528
N 9.927 0.000 5.621
N 10.804 0.000 2.508
CELL_PARAMETERS angstrom
6.886 -1.549 0.000
6.886 1.549 0.000
-1.595 0.000 6.061
! uncorrected formation energy: -1.4106 eV per atom
! total magnetic moment: 0.0 μB/cell
! crystal system: monoclinic


Q: Look up the total magnetic moment of the first one.
A: 0.0 μB/cell


Q: total magnetic moment of number 1 (LiSc2N)?
A: 0.0 μB/cell


Q: Number 7 is which compound?
A: LiSc2TaN4


Q: The highest uncorrected formation energy belongs to which entry?
A: number 5